Sc4FeI5: relaxed, PBE.

a b c (Å): 3.9000 8.6736 9.9337
angles (deg): 102.39 101.32 90.00
Fractional positions:
Sc1 0.6155 0.0572 0.2310
Sc2 0.0002 0.2118 0.0003
Sc3 0.3845 0.9428 0.7690
Sc4 0.9998 0.7882 0.9997
Fe1 0.5000 0.0000 0.0000
I1 0.1578 0.3183 0.3155
I2 0.1583 0.8373 0.3166
I3 0.8417 0.1627 0.6834
I4 0.5000 0.5000 0.0000
I5 0.8422 0.6817 0.6845

Calculated values
- calculated total energy (eV/atom) = -5.02
- formation energy without anion corrections (eV per atom) = -0.8698